LiRe2Si after structural relaxation, computed with PBE-GGA.

Results
Symmetry   Cm, No. 8
Formation energy without anion corrections   0.08 eV/atom
Volume   13.3 A^3/atom

a = 9.0380 Å, b = 2.9759 Å, c = 4.2212 Å
α = 90.00°, β = 110.86°, γ = 90.00°
With the nearest neighbours (Å) after each atom.
Element x y z (fractional)
Li 0.0000 0.0000 0.0000  3 Si 2.56-2.85, 7 Re 2.57-2.74
Li 0.5000 0.5000 0.0000  3 Si 2.56-2.85, 7 Re 2.57-2.74
Re 0.0159 0.5000 0.5172  2 Si 2.52, 4 Li 2.57-2.60, 3 Re 2.64-2.80
Re 0.2597 0.5000 0.2521  4 Si 2.57-2.60, 3 Re 2.64-2.80, 3 Li 2.66-2.74
Re 0.5159 0.0000 0.5172  2 Si 2.52, 4 Li 2.57-2.60, 3 Re 2.64-2.80
Re 0.7597 0.0000 0.2521  4 Si 2.57-2.60, 3 Re 2.64-2.80, 3 Li 2.66-2.74
Si 0.2559 0.0000 0.7535  6 Re 2.52-2.60, 2 Li 2.56
Si 0.7559 0.5000 0.7535  6 Re 2.52-2.60, 2 Li 2.56


LiRe2Si after structural relaxation, computed with PBE-GGA.

Results
Symmetry   R-3m, No. 166
Formation energy without anion corrections   0.16 eV/atom
Volume   14.4 A^3/atom

a = 2.7818 Å, b = 2.7818 Å, c = 25.8218 Å
α = 90.00°, β = 90.00°, γ = 120.00°
With the nearest neighbours (Å) after each atom.
Element x y z (fractional)
Li 0.0000 0.0000 0.0000  6 Li 2.78, 6 Re 2.84
Li 0.3333 0.6667 0.6667  6 Li 2.78, 6 Re 2.84
Li 0.6667 0.3333 0.3333  6 Li 2.78, 6 Re 2.84
Re 0.0000 0.0000 0.2428  3 Si 2.54, 6 Re 2.78, 3 Li 2.84
Re 0.0000 0.0000 0.7572  3 Si 2.54, 6 Re 2.78, 3 Li 2.84
Re 0.3333 0.6667 0.4239  3 Si 2.54, 6 Re 2.78, 3 Li 2.84
Re 0.3333 0.6667 0.9094  3 Si 2.54, 6 Re 2.78, 3 Li 2.84
Re 0.6667 0.3333 0.0906  3 Si 2.54, 6 Re 2.78, 3 Li 2.84
Re 0.6667 0.3333 0.5761  3 Si 2.54, 6 Re 2.78, 3 Li 2.84
Si 0.0000 0.0000 0.5000  6 Re 2.54, 6 Si 2.78
Si 0.3333 0.6667 0.1667  6 Re 2.54, 6 Si 2.78
Si 0.6667 0.3333 0.8333  6 Re 2.54, 6 Si 2.78